VASP calculation (PBE with a Hubbard U) on a geometry-optimized RbDyCrO4 structure.

Results
Space-group type: P2_1/m (11)
Crystal system: monoclinic
E in eV per atom: -6.98

a = 5.8521 Å, b = 5.9131 Å, c = 7.7118 Å
α = 90.00°, β = 108.52°, γ = 90.00°
Last column: nearest neighbours and their distance in Å.
Positions (direct):
1 Rb 0.3005 0.2500 0.0656  2 O 2.74-2.87
2 Rb 0.6995 0.7500 0.9344  2 O 2.74-2.87
3 O 0.9566 0.4758 0.6698  1 Cr 1.85
4 O 0.4745 0.7500 0.5641  1 Cr 1.76
5 O 0.5255 0.2500 0.4359  1 Cr 1.76
6 O 0.0434 0.5242 0.3302  1 Cr 1.85
7 O 0.9566 0.0242 0.6698  1 Cr 1.85
8 O 0.0434 0.9758 0.3302  1 Cr 1.85
9 O 0.5416 0.2500 0.7949  1 Cr 1.78
10 O 0.4584 0.7500 0.2051  1 Cr 1.78
11 Cr 0.7342 0.2500 0.6575  4 O 1.76-1.85
12 Cr 0.2658 0.7500 0.3425  4 O 1.76-1.85
13 Dy 0.1921 0.2500 0.5396  6 O 2.26-2.36
14 Dy 0.8079 0.7500 0.4604  6 O 2.26-2.36